Record 1
! Cr2InCl (PBE-GGA, relaxed); values from VASP
&SYSTEM
  ibrav = 0, nat = 4, ntyp = 3
/
ATOMIC_SPECIES
In 114.82 In.upf
Cr 52.00 Cr.upf
Cl 35.45 Cl.upf
CELL_PARAMETERS angstrom
4.700 0.000 0.000
0.000 3.139 0.000
0.000 1.546 5.326
ATOMIC_POSITIONS crystal
In 0.000 0.585 0.452
Cr 0.500 0.187 0.250
Cr 0.000 0.851 0.925
Cl 0.500 0.877 0.874
! **Crystal system**: monoclinic
! **M_tot**: 1.8353 μB/atom
! **Uncorrected energy**: -22.3 eV/f.u.
! **E above lowest polymorph**: 308 meV/atom
! **DOS(E_F)**: 3.03 states/eV per cell



Record 2
! CrInCl3 (PBE-GGA, relaxed); values from VASP
&SYSTEM
  ibrav = 0, nat = 20, ntyp = 3
/
ATOMIC_SPECIES
Cl 35.45 Cl.upf
Cr 52.00 Cr.upf
In 114.82 In.upf
CELL_PARAMETERS angstrom
-3.557 4.884 -2.761
-4.465 -3.227 -8.364
-9.563 -2.792 -1.028
ATOMIC_POSITIONS crystal
Cl 0.590 0.087 0.679
Cl 0.381 0.350 0.876
Cl 0.881 0.876 0.350
Cl 0.410 0.913 0.321
Cl 0.285 0.294 0.244
Cl 0.715 0.706 0.756
Cl 0.119 0.124 0.650
Cl 0.785 0.244 0.294
Cl 0.215 0.756 0.706
Cl 0.910 0.321 0.913
Cl 0.619 0.650 0.124
Cl 0.090 0.679 0.087
Cr 0.950 0.617 0.952
Cr 0.050 0.383 0.048
Cr 0.550 0.048 0.383
Cr 0.450 0.952 0.617
In 0.250 0.972 0.028
In 0.750 0.028 0.972
In 0.750 0.581 0.419
In 0.250 0.419 0.581
! **Crystal system**: monoclinic
! **M_tot**: 0.0000 μB/atom
! **Uncorrected energy**: -21.4 eV/f.u.



Record 3
! CrIn2Cl (PBE-GGA, relaxed); values from VASP
&SYSTEM
  ibrav = 0, nat = 4, ntyp = 3
/
ATOMIC_SPECIES
Cr 52.00 Cr.upf
In 114.82 In.upf
Cl 35.45 Cl.upf
CELL_PARAMETERS angstrom
-0.958 9.785 -2.341
-2.287 9.813 0.778
1.069 10.043 0.364
ATOMIC_POSITIONS crystal
Cr 0.755 0.755 0.755
In 0.259 0.259 0.259
In 0.015 0.015 0.015
Cl 0.471 0.471 0.471
! **Crystal system**: trigonal
! **M_tot**: 0.9257 μB/atom
! **Uncorrected energy**: -17.3 eV/f.u.
! **E above lowest polymorph**: 0 meV/atom
! **DOS(E_F)**: 4.75 states/eV per cell



Record 4
! CrIn2Cl (PBE-GGA, relaxed); values from VASP
&SYSTEM
  ibrav = 0, nat = 4, ntyp = 3
/
ATOMIC_SPECIES
In 114.82 In.upf
Cl 35.45 Cl.upf
Cr 52.00 Cr.upf
CELL_PARAMETERS angstrom
5.882 0.132 0.000
2.509 5.322 0.000
-4.195 -2.727 3.095
ATOMIC_POSITIONS crystal
In 0.500 0.500 0.000
In 0.000 0.000 0.000
Cl 0.250 0.750 0.500
Cr 0.750 0.250 0.500
! **Crystal system**: tetragonal
! **M_tot**: 1.2034 μB/atom
! **Uncorrected energy**: -16.2 eV/f.u.
! **E above lowest polymorph**: 291 meV/atom
! **DOS(E_F)**: 2.21 states/eV per cell



Record 5
! CrIn2Cl (PBE-GGA, relaxed); values from VASP
&SYSTEM
  ibrav = 0, nat = 4, ntyp = 3
/
ATOMIC_SPECIES
In 114.82 In.upf
Cl 35.45 Cl.upf
Cr 52.00 Cr.upf
CELL_PARAMETERS angstrom
-1.970 3.140 -8.090
1.119 1.794 -8.644
-1.653 -0.198 -8.742
ATOMIC_POSITIONS crystal
In 0.005 0.005 0.005
In 0.495 0.495 0.495
Cl 0.250 0.250 0.250
Cr 0.750 0.750 0.750
! **Crystal system**: trigonal
! **M_tot**: 0.8195 μB/atom
! **Uncorrected energy**: -16.7 eV/f.u.
! **E above lowest polymorph**: 171 meV/atom
! **DOS(E_F)**: 1.79 states/eV per cell



Record 6
! Cr2InCl (PBE-GGA, relaxed); values from VASP
&SYSTEM
  ibrav = 0, nat = 4, ntyp = 3
/
ATOMIC_SPECIES
Cr 52.00 Cr.upf
In 114.82 In.upf
Cl 35.45 Cl.upf
CELL_PARAMETERS angstrom
-1.178 0.894 -6.288
-3.399 -1.040 -5.394
-2.828 3.730 1.045
ATOMIC_POSITIONS crystal
Cr 0.656 0.656 0.999
Cr 0.004 0.004 0.000
In 0.528 0.528 0.500
Cl 0.312 0.312 0.002
! **Crystal system**: monoclinic
! **M_tot**: 0.0974 μB/atom
! **Uncorrected energy**: -23.2 eV/f.u.
! **E above lowest polymorph**: 73 meV/atom
! **DOS(E_F)**: 1.75 states/eV per cell